*1*
{"formula": "Nd2MgPd", "functional": "PBE-GGA", "state": "relaxed", "magmom_total_mub_per_cell": 0.0, "crystal_system": "monoclinic", "lattice_angstrom": [[3.7521, 0.0000, 0.0000], [0.0000, 9.0091, 0.0000], [-1.8748, 0.0000, 6.3933]], "species": ["Nd", "Nd", "Nd", "Nd", "Mg", "Mg", "Pd", "Pd"], "frac_coords": [[0.1327, 0.0535, 0.2654], [0.1327, 0.4465, 0.2654], [0.8673, 0.5535, 0.7346], [0.8673, 0.9465, 0.7346], [0.4332, 0.2500, 0.8707], [0.5668, 0.7500, 0.1293], [0.2425, 0.7500, 0.4852], [0.7575, 0.2500, 0.5148]]}

=====

*2*
{"formula": "Nd2MgPd", "functional": "PBE-GGA", "state": "relaxed", "magmom_total_mub_per_cell": 0.0, "crystal_system": "cubic", "lattice_angstrom": [[0.0000, 3.7484, 3.7484], [3.7484, 0.0000, 3.7484], [3.7484, 3.7484, 0.0000]], "species": ["Nd", "Nd", "Mg", "Pd"], "frac_coords": [[0.2500, 0.2500, 0.2500], [0.7500, 0.7500, 0.7500], [0.0000, 0.0000, 0.0000], [0.5000, 0.5000, 0.5000]]}

=====

*3*
{"formula": "Nd2MgPd", "functional": "PBE-GGA", "state": "relaxed", "magmom_total_mub_per_cell": 0.0, "crystal_system": "trigonal", "lattice_angstrom": [[1.8941, 1.0936, 10.6449], [-1.8941, 1.0936, 10.6449], [0.0000, -2.1872, 10.6449]], "species": ["Nd", "Nd", "Mg", "Pd"], "frac_coords": [[0.1076, 0.1076, 0.1076], [0.8924, 0.8924, 0.8924], [0.0000, 0.0000, 0.0000], [0.5000, 0.5000, 0.5000]]}

=====

It turns out *1* is the most stable, with the second structure 6.6 kJ/mol of atoms higher.

=====

*1*
{"formula": "NdMg3Pd", "functional": "PBE-GGA", "state": "relaxed", "magmom_total_mub_per_cell": 0.0, "crystal_system": "tetragonal", "lattice_angstrom": [[-2.7739, 2.7739, 9.0945], [2.7739, -2.7739, 9.0945], [2.7739, 2.7739, -9.0945]], "species": ["Nd", "Nd", "Mg", "Mg", "Mg", "Mg", "Mg", "Mg", "Pd", "Pd"], "frac_coords": [[0.1998, 0.1998, 0.0000], [0.8002, 0.8002, 0.0000], [0.3744, 0.6210, 0.7535], [0.3790, 0.1325, 0.7535], [0.3790, 0.6256, 0.2465], [0.5394, 0.0394, 0.5000], [0.8675, 0.6210, 0.2465], [0.9606, 0.4606, 0.5000], [0.2500, 0.7500, 0.5000], [0.5000, 0.5000, 0.0000]]}

=====

*2*
{"formula": "NdMg3Pd", "functional": "PBE-GGA", "state": "relaxed", "magmom_total_mub_per_cell": 0.0, "crystal_system": "orthorhombic", "lattice_angstrom": [[4.3124, -6.2598, 0.0000], [4.3124, 6.2598, 0.0000], [0.0000, 0.0000, 4.3198]], "species": ["Nd", "Nd", "Mg", "Mg", "Mg", "Mg", "Mg", "Mg", "Pd", "Pd"], "frac_coords": [[0.2096, 0.7904, 0.0000], [0.7904, 0.2096, 0.0000], [0.0000, 0.0000, 0.5000], [0.1786, 0.4304, 0.5000], [0.4304, 0.1786, 0.5000], [0.5000, 0.5000, 0.0000], [0.5696, 0.8214, 0.5000], [0.8214, 0.5696, 0.5000], [0.1894, 0.1894, 0.0000], [0.8106, 0.8106, 0.0000]]}

=====

*3*
{"formula": "NdMg3Pd", "functional": "PBE-GGA", "state": "relaxed", "magmom_total_mub_per_cell": 0.0, "crystal_system": "cubic", "lattice_angstrom": [[4.9953, 0.0000, 0.0000], [0.0000, 4.9953, 0.0000], [0.0000, 0.0000, 4.9953]], "species": ["Nd", "Mg", "Mg", "Mg", "Pd"], "frac_coords": [[0.0000, 0.0000, 0.0000], [0.0000, 0.5000, 0.5000], [0.5000, 0.0000, 0.5000], [0.5000, 0.5000, 0.0000], [0.5000, 0.5000, 0.5000]]}

=====

It turns out *2* is the most stable, with the second structure 14.5 kJ/mol of atoms higher.

=====

*1*
{"formula": "Nd4MgPd", "functional": "PBE-GGA", "state": "relaxed", "magmom_total_mub_per_cell": 0.0, "crystal_system": "monoclinic", "lattice_angstrom": [[4.5847, -6.6023, 0.0000], [4.5847, 6.6023, 0.0000], [-1.8485, 0.0000, 6.0674]], "species": ["Nd", "Nd", "Nd", "Nd", "Nd", "Nd", "Nd", "Nd", "Mg", "Mg", "Pd", "Pd"], "frac_coords": [[0.0649, 0.7157, 0.9500], [0.1904, 0.3800, 0.6068], [0.2843, 0.9351, 0.5500], [0.3800, 0.1904, 0.1068], [0.6200, 0.8096, 0.8932], [0.7157, 0.0649, 0.4500], [0.8096, 0.6200, 0.3932], [0.9351, 0.2843, 0.0500], [0.3853, 0.6147, 0.2500], [0.6147, 0.3853, 0.7500], [0.0021, 0.9979, 0.2500], [0.9979, 0.0021, 0.7500]]}

=====

*2*
{"formula": "Nd4MgPd", "functional": "PBE-GGA", "state": "relaxed", "magmom_total_mub_per_cell": 0.0, "crystal_system": "cubic", "lattice_angstrom": [[0.0000, 7.1368, 7.1368], [7.1368, 0.0000, 7.1368], [7.1368, 7.1368, 0.0000]], "species": ["Nd", "Nd", "Nd", "Nd", "Nd", "Nd", "Nd", "Nd", "Nd", "Nd", "Nd", "Nd", "Nd", "Nd", "Nd", "Nd", "Mg", "Mg", "Mg", "Mg", "Pd", "Pd", "Pd", "Pd"], "frac_coords": [[0.1845, 0.1845, 0.8155], [0.1845, 0.8155, 0.1845], [0.1845, 0.8155, 0.8155], [0.4006, 0.4006, 0.4006], [0.4006, 0.4006, 0.7982], [0.4006, 0.7982, 0.4006], [0.5582, 0.5582, 0.9418], [0.5582, 0.9418, 0.5582], [0.5582, 0.9418, 0.9418], [0.7982, 0.4006, 0.4006], [0.8155, 0.1845, 0.1845], [0.8155, 0.1845, 0.8155], [0.8155, 0.8155, 0.1845], [0.9418, 0.5582, 0.5582], [0.9418, 0.5582, 0.9418], [0.9418, 0.9418, 0.5582], [0.1709, 0.1709, 0.1709], [0.1709, 0.1709, 0.4874], [0.1709, 0.4874, 0.1709], [0.4874, 0.1709, 0.1709], [0.1800, 0.6067, 0.6067], [0.6067, 0.1800, 0.6067], [0.6067, 0.6067, 0.1800], [0.6067, 0.6067, 0.6067]]}

=====

It turns out *2* is the most stable, with the second structure 10.2 kJ/mol of atoms higher.

=====

*1*
{"formula": "Pm6NdMg2", "functional": "PBE-GGA", "state": "relaxed", "magmom_total_mub_per_cell": 0.0, "crystal_system": "trigonal", "lattice_angstrom": [[3.6743, 2.1213, 6.4722], [-3.6743, 2.1213, 6.4722], [0.0000, -4.2427, 6.4722]], "species": ["Pm", "Pm", "Pm", "Pm", "Pm", "Pm", "Nd", "Mg", "Mg"], "frac_coords": [[0.1697, 0.1697, 0.6606], [0.1697, 0.6606, 0.1697], [0.3850, 0.3850, 0.8240], [0.3850, 0.8240, 0.3850], [0.6606, 0.1697, 0.1697], [0.8240, 0.3850, 0.3850], [0.1122, 0.1122, 0.1122], [0.6805, 0.6805, 0.6805], [0.8566, 0.8566, 0.8566]]}

=====

*2*
{"formula": "Pm6NdMg2", "functional": "PBE-GGA", "state": "relaxed", "magmom_total_mub_per_cell": 0.4, "crystal_system": "monoclinic", "lattice_angstrom": [[8.5340, -1.7430, 0.0000], [8.5340, 1.7430, 0.0000], [-6.7445, 0.0000, 9.9143]], "species": ["Pm", "Pm", "Pm", "Pm", "Pm", "Pm", "Nd", "Mg", "Mg"], "frac_coords": [[0.0511, 0.0511, 0.2508], [0.2285, 0.2285, 0.6100], [0.3754, 0.3754, 0.9465], [0.6246, 0.6246, 0.0535], [0.7715, 0.7715, 0.3900], [0.9489, 0.9489, 0.7492], [0.0000, 0.0000, 0.5000], [0.3415, 0.3415, 0.1984], [0.6585, 0.6585, 0.8016]]}

=====

It turns out *2* is the most stable, with the second structure 26.3 kJ/mol of atoms higher.

=====

*1*
{"formula": "Pm8NdMg2", "functional": "PBE-GGA", "state": "relaxed", "magmom_total_mub_per_cell": 0.0, "crystal_system": "monoclinic", "lattice_angstrom": [[8.6094, -2.6845, 0.0000], [8.6094, 2.6845, 0.0000], [-3.3392, 0.0000, 7.7860]], "species": ["Pm", "Pm", "Pm", "Pm", "Pm", "Pm", "Pm", "Pm", "Nd", "Mg", "Mg"], "frac_coords": [[0.0524, 0.0524, 0.2349], [0.1476, 0.1476, 0.7038], [0.3135, 0.3135, 0.5497], [0.4010, 0.4010, 0.0323], [0.5990, 0.5990, 0.9677], [0.6865, 0.6865, 0.4503], [0.8524, 0.8524, 0.2962], [0.9476, 0.9476, 0.7651], [0.5000, 0.5000, 0.5000], [0.2252, 0.2252, 0.1296], [0.7748, 0.7748, 0.8704]]}

=====

*2*
{"formula": "Pm8NdMg2", "functional": "PBE-GGA", "state": "relaxed", "magmom_total_mub_per_cell": 0.0, "crystal_system": "monoclinic", "lattice_angstrom": [[4.4749, -7.9423, 0.0000], [4.4749, 7.9423, 0.0000], [-2.7823, 0.0000, 5.1675]], "species": ["Pm", "Pm", "Pm", "Pm", "Pm", "Pm", "Pm", "Pm", "Nd", "Mg", "Mg"], "frac_coords": [[0.0971, 0.3266, 0.6435], [0.2110, 0.7890, 0.0000], [0.3266, 0.0971, 0.6435], [0.4132, 0.4132, 0.2065], [0.5868, 0.5868, 0.7935], [0.6734, 0.9029, 0.3565], [0.7890, 0.2110, 0.0000], [0.9029, 0.6734, 0.3565], [0.0000, 0.0000, 0.0000], [0.3073, 0.6927, 0.5000], [0.6927, 0.3073, 0.5000]]}

=====

It turns out *1* is the most stable, with the second structure 10.2 kJ/mol of atoms higher.

=====

*1*
{"formula": "PmNd3Mg4", "functional": "PBE-GGA", "state": "relaxed", "magmom_total_mub_per_cell": 0.0, "crystal_system": "orthorhombic", "lattice_angstrom": [[-1.6969, 4.2896, 8.4599], [1.6969, -4.2896, 8.4599], [1.6969, 4.2896, -8.4599]], "species": ["Pm", "Nd", "Nd", "Nd", "Mg", "Mg", "Mg", "Mg"], "frac_coords": [[0.0000, 0.0000, 0.0000], [0.1966, 0.6966, 0.5000], [0.5000, 0.5000, 0.0000], [0.8034, 0.3034, 0.5000], [0.1707, 0.8632, 0.3076], [0.4444, 0.1368, 0.3076], [0.5556, 0.8632, 0.6924], [0.8293, 0.1368, 0.6924]]}

=====

*2*
{"formula": "PmNd3Mg4", "functional": "PBE-GGA", "state": "relaxed", "magmom_total_mub_per_cell": 0.0, "crystal_system": "orthorhombic", "lattice_angstrom": [[3.8923, 0.0000, 0.0000], [0.0000, 5.4821, 0.0000], [0.0000, 0.0000, 10.9647]], "species": ["Pm", "Nd", "Nd", "Nd", "Mg", "Mg", "Mg", "Mg"], "frac_coords": [[0.0000, 0.0000, 0.0000], [0.0000, 0.0000, 0.5000], [0.0000, 0.5000, 0.2496], [0.0000, 0.5000, 0.7504], [0.5000, 0.0000, 0.2493], [0.5000, 0.0000, 0.7507], [0.5000, 0.5000, 0.0000], [0.5000, 0.5000, 0.5000]]}

=====

It turns out *2* is the most stable, with the second structure 22.2 kJ/mol of atoms higher.